No. 1
Material: YZn2Cu
Method: DFT, PBE
State: optimized geometry

Calculated values
total moment	0.2	μB/f.u.
calculated total energy	-13.74	eV per cell

Geometry as POSCAR:
```
YZn2Cu
1.0
3.195 0.000 0.000
0.000 3.195 0.000
0.000 0.000 6.916
Y Zn Cu
1 2 1
Direct
0.000 0.000 0.000
0.500 0.500 0.305
0.500 0.500 0.695
0.000 0.000 0.500
```

---

No. 2
Material: TbGa2Pt6
Method: DFT, PBE
State: optimized geometry

Calculated values
total moment	0.0	μB/f.u.
calculated total energy	-51.06	eV per cell

Geometry as POSCAR:
```
TbGa2Pt6
1.0
4.775 0.000 0.000
-2.387 4.135 0.000
0.000 0.000 9.015
Tb Ga Pt
1 2 6
Direct
0.000 0.000 0.000
0.333 0.667 0.500
0.667 0.333 0.500
0.000 0.341 0.737
0.000 0.659 0.263
0.341 0.000 0.737
0.341 0.341 0.263
0.659 0.000 0.263
0.659 0.659 0.737
```

---

No. 3
Material: Zr12In5Ga3
Method: DFT, PBE
State: optimized geometry

Calculated values
total moment	0.0	μB/f.u.
calculated total energy	-462.01	eV per cell

Geometry as POSCAR:
```
Zr12In5Ga3
1.0
-8.256 8.256 8.256
8.256 -8.256 8.256
8.256 8.256 -8.256
Zr In Ga
48 20 12
Direct
0.072 0.231 0.146
0.072 0.341 0.926
0.074 0.646 0.415
0.074 0.928 0.659
0.085 0.731 0.659
0.085 0.854 0.426
0.146 0.072 0.231
0.146 0.574 0.915
0.159 0.231 0.585
0.159 0.428 0.574
0.231 0.146 0.072
0.231 0.585 0.159
0.269 0.341 0.915
0.269 0.428 0.354
0.341 0.915 0.269
0.341 0.926 0.072
0.354 0.269 0.428
0.354 0.585 0.926
0.415 0.074 0.646
0.415 0.841 0.769
0.426 0.085 0.854
0.426 0.841 0.572
0.428 0.354 0.269
0.428 0.574 0.159
0.572 0.426 0.841
0.572 0.646 0.731
0.574 0.159 0.428
0.574 0.915 0.146
0.585 0.159 0.231
0.585 0.926 0.354
0.646 0.415 0.074
0.646 0.731 0.572
0.659 0.074 0.928
0.659 0.085 0.731
0.731 0.572 0.646
0.731 0.659 0.085
0.769 0.415 0.841
0.769 0.854 0.928
0.841 0.572 0.426
0.841 0.769 0.415
0.854 0.426 0.085
0.854 0.928 0.769
0.915 0.146 0.574
0.915 0.269 0.341
0.926 0.072 0.341
0.926 0.354 0.585
0.928 0.659 0.074
0.928 0.769 0.854
0.000 0.000 0.000
0.000 0.000 0.500
0.000 0.500 0.000
0.000 0.500 0.500
0.125 0.750 0.875
0.125 0.875 0.250
0.250 0.125 0.875
0.250 0.625 0.375
0.375 0.250 0.625
0.375 0.625 0.750
0.500 0.000 0.000
0.500 0.000 0.500
0.500 0.500 0.000
0.500 0.500 0.500
0.625 0.375 0.250
0.625 0.750 0.375
0.750 0.375 0.625
0.750 0.875 0.125
0.875 0.125 0.750
0.875 0.250 0.125
0.125 0.250 0.375
0.125 0.375 0.750
0.250 0.375 0.125
0.250 0.875 0.625
0.375 0.125 0.250
0.375 0.750 0.125
0.625 0.250 0.875
0.625 0.875 0.750
0.750 0.125 0.375
0.750 0.625 0.875
0.875 0.625 0.250
0.875 0.750 0.625
```